Below is an optimized crystal structure of Li2Sm2CoO6, with properties calculated at the GGA+U level.

Total magnetic moment ... 1.0 μB per formula unit
Electronic total energy ... -6.394 eV per atom

a = 5.640 Å, b = 5.640 Å, c = 5.640 Å
α = 58.53°, β = 58.53°, γ = 58.53°
Positions (direct):
Li1 0.074 0.074 0.074
Li2 0.926 0.926 0.926
Sm1 0.281 0.281 0.281
Sm2 0.719 0.719 0.719
Co1 0.500 0.500 0.500
O1 0.264 0.264 0.718
O2 0.264 0.718 0.264
O3 0.282 0.736 0.736
O4 0.718 0.264 0.264
O5 0.736 0.282 0.736
O6 0.736 0.736 0.282